Here is a geometry-optimized Ba2SbMoO6 structure from the Alexandria database. Energies are from PBE+U.

a b c (Å): 6.091 6.091 8.472
angles (deg): 90.00 90.00 90.00
Space group I4/mmm (No. 139)
Unique sites:
Ba 0.000 0.500 0.250 (multiplicity 4)
Sb 0.000 0.000 0.000 (multiplicity 2)
Mo 0.000 0.000 0.500 (multiplicity 2)
O 0.000 0.000 0.270 (multiplicity 4)
O 0.238 0.238 0.500 (multiplicity 8)

As for the density: 6.2 g/cm3. Its total energy is -130.81 eV/cell.